(1)
# Sm2HoMg5 | Alexandria via LeMat-Bulk | GGA-PBE | optimized geometry
data_Sm2HoMg5
_symmetry_space_group_name_H-M 'I 4/m m m'
_symmetry_Int_Tables_number 139
_symmetry_space_group_name_Hall '-I 4 2'
_cell_length_a 5.251
_cell_length_b 5.251
_cell_length_c 15.479
_cell_angle_alpha 90.00
_cell_angle_beta 90.00
_cell_angle_gamma 90.00
loop_
_atom_site_label
_atom_site_type_symbol
_atom_site_fract_x
_atom_site_fract_y
_atom_site_fract_z
Sm1 Sm 0.000 0.000 0.242
Ho1 Ho 0.000 0.000 0.500
Mg1 Mg 0.000 0.000 0.000
Mg2 Mg 0.000 0.500 0.116
# * magnetic moment: 0.0 μB/cell
# * E: -2.82 eV per atom

=====

(2)
# PrEuSnPd | Alexandria via LeMat-Bulk | GGA-PBE | optimized geometry
data_PrEuSnPd
_symmetry_space_group_name_H-M 'F -4 3 m'
_symmetry_Int_Tables_number 216
_symmetry_space_group_name_Hall 'F -4 2 3'
_cell_length_a 7.588
_cell_length_b 7.588
_cell_length_c 7.588
_cell_angle_alpha 90.00
_cell_angle_beta 90.00
_cell_angle_gamma 90.00
loop_
_atom_site_label
_atom_site_type_symbol
_atom_site_fract_x
_atom_site_fract_y
_atom_site_fract_z
Pr1 Pr 0.000 0.000 0.000
Eu1 Eu 0.000 0.000 0.500
Sn1 Sn 0.250 0.250 0.750
Pd1 Pd 0.250 0.250 0.250
# * magnetic moment: 27.6 μB/cell
# * E: -6.70 eV per atom

=====

(3)
# K4NdOs3O12 | Alexandria via LeMat-Bulk | GGA-PBE | optimized geometry
data_K4NdOs3O12
_symmetry_space_group_name_H-M 'I m -3 m'
_symmetry_Int_Tables_number 229
_symmetry_space_group_name_Hall '-I 4 2 3'
_cell_length_a 8.187
_cell_length_b 8.187
_cell_length_c 8.187
_cell_angle_alpha 90.00
_cell_angle_beta 90.00
_cell_angle_gamma 90.00
loop_
_atom_site_label
_atom_site_type_symbol
_atom_site_fract_x
_atom_site_fract_y
_atom_site_fract_z
K1 K 0.250 0.250 0.250
Nd1 Nd 0.000 0.000 0.000
Os1 Os 0.000 0.000 0.500
O1 O 0.000 0.000 0.274
O2 O 0.000 0.250 0.500
# * uncorrected formation energy: -1.47 eV per atom
# * magnetic moment: 1.5 μB/cell
# * E: -6.59 eV per atom

=====

(4)
# Rb2BaInPb | Alexandria via LeMat-Bulk | GGA-PBE | optimized geometry
data_Rb2BaInPb
_symmetry_space_group_name_H-M 'P 4/m m m'
_symmetry_Int_Tables_number 123
_symmetry_space_group_name_Hall '-P 4 2'
_cell_length_a 7.108
_cell_length_b 7.108
_cell_length_c 5.904
_cell_angle_alpha 90.00
_cell_angle_beta 90.00
_cell_angle_gamma 90.00
loop_
_atom_site_label
_atom_site_type_symbol
_atom_site_fract_x
_atom_site_fract_y
_atom_site_fract_z
Rb1 Rb 0.000 0.500 0.000
Ba1 Ba 0.000 0.000 0.500
In1 In 0.500 0.500 0.500
Pb1 Pb 0.500 0.500 0.000
# * magnetic moment: 0.0 μB/cell
# * E: -1.89 eV per atom

=====

(5)
# Ce8Ru3RhBr4 | Alexandria via LeMat-Bulk | GGA-PBE | optimized geometry
data_Ce8Ru3RhBr4
_symmetry_space_group_name_H-M 'R -3 m'
_symmetry_Int_Tables_number 166
_symmetry_space_group_name_Hall '-R 3 2"'
_cell_length_a 8.0733
_cell_length_b 8.0733
_cell_length_c 23.1097
_cell_angle_alpha 90.00
_cell_angle_beta 90.00
_cell_angle_gamma 120.00
loop_
_atom_site_label
_atom_site_type_symbol
_atom_site_fract_x
_atom_site_fract_y
_atom_site_fract_z
Ce1 Ce 0.0000 0.0000 0.2325
Ce2 Ce 0.0048 0.5024 0.7675
Ru1 Ru 0.0000 0.5000 0.5000
Rh1 Rh 0.0000 0.0000 0.5000
Br1 Br 0.0000 0.0000 0.0000
Br2 Br 0.0000 0.5000 0.0000
# * uncorrected formation energy: -0.85 eV per atom
# * magnetic moment: 17.9 μB/cell
# * E: -6.44 eV per atom

=====

(6)
# LiAcLuRh | Alexandria via LeMat-Bulk | GGA-PBE | optimized geometry
data_LiAcLuRh
_symmetry_space_group_name_H-M 'F -4 3 m'
_symmetry_Int_Tables_number 216
_symmetry_space_group_name_Hall 'F -4 2 3'
_cell_length_a 7.250
_cell_length_b 7.250
_cell_length_c 7.250
_cell_angle_alpha 90.00
_cell_angle_beta 90.00
_cell_angle_gamma 90.00
loop_
_atom_site_label
_atom_site_type_symbol
_atom_site_fract_x
_atom_site_fract_y
_atom_site_fract_z
Li1 Li 0.000 0.000 0.000
Ac1 Ac 0.250 0.250 0.250
Lu1 Lu 0.250 0.250 0.750
Rh1 Rh 0.000 0.000 0.500
# * magnetic moment: 0.0 μB/cell
# * E: -4.81 eV per atom

=====

(7)
# LaZn2In | Alexandria via LeMat-Bulk | GGA-PBE | optimized geometry
data_LaZn2In
_symmetry_space_group_name_H-M 'P 4 m m'
_symmetry_Int_Tables_number 99
_cell_length_a 3.480
_cell_length_b 3.480
_cell_length_c 7.538
_cell_angle_alpha 90.00
_cell_angle_beta 90.00
_cell_angle_gamma 90.00
loop_
_symmetry_equiv_pos_as_xyz
'x,y,z'
'-y,x,z'
'-x,-y,z'
'y,-x,z'
'-x,y,z'
'y,x,z'
'x,-y,z'
'-y,-x,z'
loop_
_atom_site_label
_atom_site_type_symbol
_atom_site_fract_x
_atom_site_fract_y
_atom_site_fract_z
La1 La 0.000 0.000 0.000
Zn1 Zn 0.000 0.000 0.443
Zn2 Zn 0.500 0.500 0.285
In1 In 0.500 0.500 0.679
# * magnetic moment: 0.0 μB/cell
# * E: -2.75 eV per atom

=====

(8)
# AsP2Au | Alexandria via LeMat-Bulk | GGA-PBE | optimized geometry
data_AsP2Au
_symmetry_space_group_name_H-M 'P 1'
_symmetry_Int_Tables_number 1
_cell_length_a 3.248
_cell_length_b 5.098
_cell_length_c 5.297
_cell_angle_alpha 117.55
_cell_angle_beta 93.27
_cell_angle_gamma 98.59
loop_
_symmetry_equiv_pos_as_xyz
'x,y,z'
loop_
_atom_site_label
_atom_site_type_symbol
_atom_site_fract_x
_atom_site_fract_y
_atom_site_fract_z
As1 As 0.000 0.000 0.000
P1 P 0.505 0.388 0.714
P2 P 0.904 0.036 0.574
Au1 Au 0.563 0.487 0.264
# * magnetic moment: 0.0 μB/cell
# * E: -4.53 eV per atom

=====

(9)
# AcThGe | Alexandria via LeMat-Bulk | GGA-PBE | optimized geometry
data_AcThGe
_symmetry_space_group_name_H-M 'I 4 m m'
_symmetry_Int_Tables_number 107
_symmetry_space_group_name_Hall 'I 4 -2'
_cell_length_a 3.979
_cell_length_b 3.979
_cell_length_c 11.785
_cell_angle_alpha 90.00
_cell_angle_beta 90.00
_cell_angle_gamma 90.00
loop_
_atom_site_label
_atom_site_type_symbol
_atom_site_fract_x
_atom_site_fract_y
_atom_site_fract_z
Ac1 Ac 0.000 0.000 0.000
Th1 Th 0.000 0.000 0.722
Ge1 Ge 0.000 0.000 0.334
# * energy relative to the lowest polymorph listed for this composition: 0.000 eV/atom
# * magnetic moment: 0.0 μB/cell
# * E: -5.70 eV per atom

=====

(10)
# TcSb4As | Alexandria via LeMat-Bulk | GGA-PBE | optimized geometry
data_TcSb4As
_symmetry_space_group_name_H-M 'F -4 3 m'
_symmetry_Int_Tables_number 216
_symmetry_space_group_name_Hall 'F -4 2 3'
_cell_length_a 8.616
_cell_length_b 8.616
_cell_length_c 8.616
_cell_angle_alpha 90.00
_cell_angle_beta 90.00
_cell_angle_gamma 90.00
loop_
_atom_site_label
_atom_site_type_symbol
_atom_site_fract_x
_atom_site_fract_y
_atom_site_fract_z
Tc1 Tc 0.000 0.000 0.000
Sb1 Sb 0.125 0.125 0.625
As1 As 0.250 0.250 0.250
# * uncorrected formation energy: 1.01 eV per atom
# * magnetic moment: 14.0 μB/cell
# * E: -4.24 eV per atom

=====

(11)
# HgP2W | Alexandria via LeMat-Bulk | GGA-PBE | optimized geometry
data_HgP2W
_symmetry_space_group_name_H-M 'R -3 m'
_symmetry_Int_Tables_number 166
_symmetry_space_group_name_Hall '-R 3 2"'
_cell_length_a 3.2289
_cell_length_b 3.2289
_cell_length_c 25.1632
_cell_angle_alpha 90.00
_cell_angle_beta 90.00
_cell_angle_gamma 120.00
loop_
_atom_site_label
_atom_site_type_symbol
_atom_site_fract_x
_atom_site_fract_y
_atom_site_fract_z
Hg1 Hg 0.0000 0.0000 0.0000
P1 P 0.0000 0.0000 0.2305
W1 W 0.0000 0.0000 0.5000
# * magnetic moment: 0.0 μB/cell
# * E: -5.99 eV per atom

=====

(12)
# Ta2CoRu | Alexandria via LeMat-Bulk | GGA-PBE | optimized geometry
data_Ta2CoRu
_symmetry_space_group_name_H-M 'R 3 m'
_symmetry_Int_Tables_number 160
_symmetry_space_group_name_Hall 'R 3 -2"'
_cell_length_a 2.9694
_cell_length_b 2.9694
_cell_length_c 25.0042
_cell_angle_alpha 90.00
_cell_angle_beta 90.00
_cell_angle_gamma 120.00
loop_
_atom_site_label
_atom_site_type_symbol
_atom_site_fract_x
_atom_site_fract_y
_atom_site_fract_z
Ta1 Ta 0.0000 0.0000 0.0000
Ta2 Ta 0.0000 0.0000 0.2386
Co1 Co 0.0000 0.0000 0.7398
Ru1 Ru 0.0000 0.0000 0.4909
# * magnetic moment: 0.0 μB/cell
# * E: -9.82 eV per atom